The following is a DFT calculation (PBE-GGA) of an optimized crystal structure of Ac3Pr2ErTe6.

Results
- Total DFT energy (no corrections): -5.199 eV per atom
- Uncorrected formation energy: -1.424 eV/atom
- Symmetry: C2/m, No. 12
- Total magnetic moment: 0.0 Bohr magnetons per cell

Unit cell a=4.5537 b=9.2832 c=10.2937 alpha=103.37 beta=102.78 gamma=90.00
With the nearest neighbours (Å) after each atom.
Fractional positions:
Te (0.6681, 0.5766, 0.3361)  3 Pr 3.18-3.19, 3 Ac 3.28-3.30
Te (0.9990, 0.7697, 0.9981)  2 Er 3.12, 1 Pr 3.29, 3 Ac 3.38-3.39
Er (0.5000, 0.0000, 0.0000)  6 Te 3.06-3.12
Ac (0.5000, 0.5000, 0.0000)  6 Te 3.28-3.39
Ac (0.1719, 0.8357, 0.3438)  6 Te 3.30-3.38
Te (0.3319, 0.4234, 0.6639)  3 Pr 3.18-3.19, 3 Ac 3.28-3.30
Te (0.0010, 0.2303, 0.0019)  2 Er 3.12, 1 Pr 3.29, 3 Ac 3.38-3.39
Pr (0.1691, 0.3362, 0.3383)  6 Te 3.18-3.29
Pr (0.8309, 0.6638, 0.6617)  6 Te 3.18-3.29
Te (0.3432, 0.9132, 0.6864)  1 Er 3.06, 2 Pr 3.21, 3 Ac 3.32-3.34
Ac (0.8281, 0.1643, 0.6562)  6 Te 3.30-3.38
Te (0.6568, 0.0868, 0.3136)  1 Er 3.06, 2 Pr 3.21, 3 Ac 3.32-3.34

---

The following is a DFT calculation (PBE-GGA) of an optimized crystal structure of AcPrErTh.

Results
- Total DFT energy (no corrections): -5.039 eV per atom
- Symmetry: F-43m, No. 216
- Formation energy: 0.1789 eV/atom
- Total magnetic moment: 0.0 Bohr magnetons per cell

Unit cell a=5.8649 b=5.8649 c=5.8649 alpha=60.00 beta=60.00 gamma=60.00
With the nearest neighbours (Å) after each atom.
Fractional positions:
Er (0.2500, 0.2500, 0.2500)  4 Ac 3.59, 4 Th 3.59
Ac (0.5000, 0.5000, 0.5000)  4 Er 3.59, 4 Pr 3.59
Th (0.0000, 0.0000, 0.0000)  4 Pr 3.59, 4 Er 3.59
Pr (0.7500, 0.7500, 0.7500)  4 Th 3.59, 4 Ac 3.59

---

The following is a DFT calculation (PBE-GGA) of an optimized crystal structure of AcPrEr2Tl4.

Results
- Total DFT energy (no corrections): -3.753 eV per atom
- Symmetry: R-3m, No. 166
- Formation energy: -0.3186 eV/atom
- Total magnetic moment: 0.0 Bohr magnetons per cell

Unit cell a=5.5272 b=5.5272 c=9.6008 alpha=73.27 beta=73.27 gamma=60.00
With the nearest neighbours (Å) after each atom.
Fractional positions:
Tl (0.1269, 0.1269, 0.6193)  4 Er 3.32-3.40, 3 Pr 3.37, 1 Ac 3.45
Er (0.7507, 0.7507, 0.7478)  8 Tl 3.32-3.49
Tl (0.3776, 0.3776, 0.8672)  1 Pr 3.33, 4 Er 3.37-3.49, 3 Ac 3.41
Pr (0.5000, 0.5000, 0.5000)  8 Tl 3.33-3.37
Tl (0.6224, 0.6224, 0.1328)  1 Pr 3.33, 4 Er 3.37-3.49, 3 Ac 3.41
Tl (0.8731, 0.8731, 0.3807)  4 Er 3.32-3.40, 3 Pr 3.37, 1 Ac 3.45
Er (0.2493, 0.2493, 0.2522)  8 Tl 3.32-3.49
Ac (0.0000, 0.0000, 0.0000)  8 Tl 3.41-3.45

---

The following is a DFT calculation (PBE-GGA) of an optimized crystal structure of AcPrErTl.

Results
- Total DFT energy (no corrections): -3.927 eV per atom
- Symmetry: F-43m, No. 216
- Formation energy: 0.0274 eV/atom
- Total magnetic moment: 0.0 Bohr magnetons per cell

Unit cell a=5.6823 b=5.6823 c=5.6823 alpha=60.00 beta=60.00 gamma=60.00
With the nearest neighbours (Å) after each atom.
Fractional positions:
Pr (0.7500, 0.7500, 0.7500)  4 Tl 3.48, 4 Ac 3.48
Er (0.2500, 0.2500, 0.2500)  4 Ac 3.48, 4 Tl 3.48
Ac (0.5000, 0.5000, 0.5000)  4 Pr 3.48, 4 Er 3.48
Tl (0.0000, 0.0000, 0.0000)  4 Er 3.48, 4 Pr 3.48